## CoNiBr2 (GGA-PBE)

Data for an optimized crystal structure of CoNiBr2.

Structure (POSCAR):
```
CoNiBr2
1.0
4.609 0.000 0.000
0.001 4.609 0.000
-2.305 -2.304 3.259
Br Co Ni
2 1 1
Direct
0.000 0.000 0.000
0.500 0.500 0.000
0.250 0.750 0.500
0.750 0.250 0.500
```

## Properties
The calculation puts the calculated total energy at -0.12569 Ha/atom. The calculation puts the energy above the lowest structure with this stoichiometry at 56.39 kJ per mole of atoms. The raw formation energy comes out at 0.6379 eV/atom.